Below is an optimized crystal structure of KSc2AlI, with properties calculated at the PBE level.

Lattice parameters (Å, degrees): 5.2797 6.7103 5.2797 90.00 90.00 90.00
With the nearest neighbours (Å) after each atom.
Fractional coordinates of all 5 atoms:
Sc 0.5000 0.0000 0.0000  2 Al 2.64
K 0.0000 0.5000 0.0000  2 Al 3.36, 4 I 3.73
I 0.5000 0.5000 0.5000  4 K 3.73
Al 0.0000 0.0000 0.0000  4 Sc 2.64
Sc 0.0000 0.0000 0.5000  2 Al 2.64

Formation energy from raw total energies ... 0.173 eV/atom
M_tot ... 0.66 μB/f.u.


Below is an optimized crystal structure of PrSbAu, with properties calculated at the PBE level.

Lattice parameters (Å, degrees): 4.6386 6.3026 6.3026 79.93 68.41 68.41
With the nearest neighbours (Å) after each atom.
Fractional coordinates of all 6 atoms:
Pr 0.0000 0.6320 0.3680  2 Au 3.20, 6 Sb 3.37-3.44
Pr 0.5000 0.1723 0.8277  4 Au 3.20, 4 Sb 3.35
Au 0.1827 0.7946 0.8400  3 Sb 2.74-2.76
Au 0.8173 0.1600 0.2054  3 Sb 2.74-2.76
Sb 0.7472 0.5630 0.9425  3 Au 2.74-2.76
Sb 0.2528 0.0575 0.4370  3 Au 2.74-2.76

Formation energy from raw total energies ... -0.854 eV/atom
M_tot ... 0.00 μB/f.u.


Below is an optimized crystal structure of Pr2BeAgPd6, with properties calculated at the PBE level.

Lattice parameters (Å, degrees): 6.1426 7.0207 7.0089 46.85 75.25 95.93
With the nearest neighbours (Å) after each atom.
Fractional coordinates of all 10 atoms:
Pr 0.7473 0.2721 0.5266  5 Pd 2.92-3.14
Pr 0.2527 0.7279 0.4734  5 Pd 2.92-3.14
Pd 0.2959 0.2564 0.4645  1 Be 2.23
Pd 0.7041 0.7436 0.5355  1 Be 2.23
Pd 0.8884 0.7416 0.8593  1 Be 2.28
Pd 0.2966 0.7569 0.9691  1 Be 2.22
Be 0.5000 0.5000 0.0000  6 Pd 2.22-2.28
Ag 0.0000 0.0000 0.0000  6 Pd 2.69-2.70
Pd 0.1116 0.2584 0.1407  1 Be 2.28
Pd 0.7034 0.2431 0.0309  1 Be 2.22

Energy of formation from the pure elements ... -49.6 kJ per mole of atoms
M_tot ... 0.00 μB/f.u.


Record-wise uncorrected energy values, in eV/cell: -18.2; -29.5; -52.4
Record-wise Fermi-level density of states values, in states/eV/f.u.: 2.88; 1.08; 3.63